A geometry-optimized Hg2Br3F structure, computed with PBE.

Summary:
E_tot = -0.142 Ry/atom

Lattice parameters (Å, degrees): 15.6853 4.3558 12.9565 90.00 120.89 90.00
Space group C2/m (No. 12)
Unique sites:
Hg  0.2137  0.0000  0.3569 [4 per cell]
Hg  0.2366  0.5000  0.1263 [4 per cell]
Br  0.0989  0.5000  0.1755 [4 per cell]
Br  0.1230  0.0000  0.9131 [4 per cell]
Br  0.1324  0.0000  0.4831 [4 per cell]
F  0.2113  0.5000  0.7436 [4 per cell]